<P>
GGA-PBE KRb2ZnN, relaxed; size of the total moment = 0.12 μB per formula unit; SG = No. 123
1.0
6.613 0.000 0.000
0.000 6.613 0.000
0.000 0.000 6.236
K Rb Zn N
1 2 1 1
Direct
0.000 0.000 0.000
0.000 0.500 0.500
0.500 0.000 0.500
0.000 0.000 0.500
0.500 0.500 0.000

<Q>
GGA-PBE KRb2ZnN, relaxed; size of the total moment = 0.00 μB per formula unit; SG = No. 123
1.0
6.770 0.000 0.000
0.000 6.770 0.000
0.000 0.000 4.590
K Rb Zn N
1 2 1 1
Direct
0.000 0.000 0.000
0.000 0.500 0.000
0.500 0.000 0.000
0.500 0.500 0.500
0.000 0.000 0.500

Result of the stability comparison: <P> is the least stable of them.

<P>
GGA-PBE KReN2, relaxed; size of the total moment = 1.75 μB per formula unit; SG = No. 225
1.0
0.000 2.850 2.850
2.850 0.000 2.850
2.850 2.850 0.000
K Re N
1 1 2
Direct
0.000 0.000 0.000
0.500 0.500 0.500
0.250 0.250 0.250
0.750 0.750 0.750

<Q>
GGA-PBE KReN2, relaxed; size of the total moment = 0.00 μB per formula unit; SG = No. 122
1.0
-2.824 2.824 4.694
2.824 -2.824 4.694
2.824 2.824 -4.694
K Re N
2 2 4
Direct
0.000 0.000 0.000
0.750 0.250 0.500
0.250 0.750 0.500
0.500 0.500 0.000
0.301 0.625 0.176
0.375 0.551 0.676
0.449 0.125 0.824
0.875 0.699 0.324

<R>
GGA-PBE KReN2, relaxed; size of the total moment = 0.00 μB per formula unit; SG = No. 166
1.0
1.534 0.886 7.134
-1.534 0.886 7.134
0.000 -1.772 7.134
K Re N
1 1 2
Direct
0.000 0.000 0.000
0.500 0.500 0.500
0.115 0.115 0.115
0.885 0.885 0.885

Result of the stability comparison: <P> is the least stable of them.

<P>
GGA-PBE KReN2, relaxed; size of the total moment = 0.00 μB per formula unit; SG = No. 57
1.0
7.813 0.000 0.000
0.000 6.211 0.000
0.000 0.000 12.231
K Re N
8 8 16
Direct
0.113 0.059 0.250
0.113 0.441 0.750
0.365 0.250 0.000
0.365 0.250 0.500
0.635 0.750 0.000
0.635 0.750 0.500
0.887 0.559 0.250
0.887 0.941 0.750
0.134 0.750 0.000
0.134 0.750 0.500
0.391 0.622 0.250
0.391 0.878 0.750
0.609 0.122 0.250
0.609 0.378 0.750
0.866 0.250 0.000
0.866 0.250 0.500
0.000 0.000 0.000
0.000 0.000 0.500
0.000 0.500 0.000
0.000 0.500 0.500
0.274 0.696 0.123
0.274 0.696 0.377
0.274 0.804 0.623
0.274 0.804 0.877
0.420 0.183 0.750
0.420 0.317 0.250
0.580 0.683 0.750
0.580 0.817 0.250
0.726 0.196 0.123
0.726 0.196 0.377
0.726 0.304 0.623
0.726 0.304 0.877

<Q>
GGA-PBE KReN2, relaxed; size of the total moment = 1.36 μB per formula unit; SG = No. 166
1.0
1.550 0.895 7.781
-1.550 0.895 7.781
0.000 -1.790 7.781
K Re N
1 1 2
Direct
0.000 0.000 0.000
0.500 0.500 0.500
0.421 0.421 0.421
0.579 0.579 0.579

Result of the stability comparison: <Q> is the least stable of them.

<P>
GGA-PBE K2ReN2, relaxed; size of the total moment = 3.06 μB per formula unit; SG = No. 139
1.0
-2.747 2.747 4.865
2.747 -2.747 4.865
2.747 2.747 -4.865
K Re N
2 1 2
Direct
0.250 0.750 0.500
0.750 0.250 0.500
0.000 0.000 0.000
0.441 0.441 0.000
0.559 0.559 0.000

<Q>
GGA-PBE K2ReN2, relaxed; size of the total moment = 0.00 μB per formula unit; SG = No. 36
1.0
1.769 -9.922 0.000
1.769 9.922 0.000
0.000 0.000 6.129
K Re N
4 2 4
Direct
0.026 0.974 0.500
0.194 0.806 0.636
0.806 0.194 0.136
0.974 0.026 0.000
0.372 0.628 0.573
0.628 0.372 0.073
0.145 0.855 0.185
0.411 0.589 0.318
0.589 0.411 0.818
0.855 0.145 0.685

<R>
GGA-PBE K2ReN2, relaxed; size of the total moment = 0.00 μB per formula unit; SG = No. 127
1.0
5.690 0.000 0.000
0.000 5.690 0.000
0.000 0.000 5.181
K Re N
4 2 4
Direct
0.170 0.330 0.000
0.330 0.830 0.000
0.670 0.170 0.000
0.830 0.670 0.000
0.000 0.000 0.500
0.500 0.500 0.500
0.234 0.734 0.500
0.266 0.234 0.500
0.734 0.766 0.500
0.766 0.266 0.500

Result of the stability comparison: <P> is the least stable of them.

<P>
GGA-PBE KReSeN2, relaxed; size of the total moment = 0.13 μB per formula unit; SG = No. 123
1.0
3.986 0.000 0.000
0.000 3.986 0.000
0.000 0.000 5.230
K Re Se N
1 1 1 2
Direct
0.000 0.000 0.000
0.500 0.500 0.500
0.500 0.500 0.000
0.000 0.500 0.500
0.500 0.000 0.500

<Q>
GGA-PBE KReSeN2, relaxed; size of the total moment = 0.00 μB per formula unit; SG = No. 123
1.0
4.061 0.000 0.000
0.000 4.061 0.000
0.000 0.000 5.394
K Re Se N
1 1 1 2
Direct
0.000 0.000 0.000
0.500 0.500 0.500
0.000 0.000 0.500
0.000 0.500 0.000
0.500 0.000 0.000

Result of the stability comparison: <Q> is the least stable of them.

<P>
GGA-PBE KRhN, relaxed; size of the total moment = 0.00 μB per formula unit; SG = No. 198
1.0
5.817 0.000 0.000
0.000 5.817 0.000
0.000 0.000 5.817
K Rh N
4 4 4
Direct
0.140 0.140 0.140
0.360 0.860 0.640
0.640 0.360 0.860
0.860 0.640 0.360
0.144 0.356 0.644
0.356 0.644 0.144
0.644 0.144 0.356
0.856 0.856 0.856
0.097 0.597 0.903
0.403 0.403 0.403
0.597 0.903 0.097
0.903 0.097 0.597

<Q>
GGA-PBE KRhN, relaxed; size of the total moment = 0.00 μB per formula unit; SG = No. 156
1.0
3.261 0.000 0.000
-1.630 2.824 0.000
0.000 0.000 5.634
K Rh N
1 1 1
Direct
0.000 0.000 0.000
0.667 0.333 0.520
0.333 0.667 0.635

Result of the stability comparison: <P> is the least stable of them.

<P>
GGA-PBE KRhSN2, relaxed; size of the total moment = 7.75 μB per formula unit; SG = No. 123
1.0
4.726 0.000 0.000
0.000 4.726 0.000
0.000 0.000 5.922
K Rh S N
1 1 1 2
Direct
0.000 0.000 0.000
0.500 0.500 0.500
0.000 0.000 0.500
0.000 0.500 0.000
0.500 0.000 0.000

<Q>
GGA-PBE KRhSN2, relaxed; size of the total moment = 0.28 μB per formula unit; SG = No. 123
1.0
3.951 0.000 0.000
0.000 3.951 0.000
0.000 0.000 5.180
K Rh S N
1 1 1 2
Direct
0.000 0.000 0.000
0.500 0.500 0.500
0.500 0.500 0.000
0.000 0.500 0.500
0.500 0.000 0.500

Result of the stability comparison: <P> is the least stable of them.

<P>
GGA-PBE KRhSe2N, relaxed; size of the total moment = 6.59 μB per formula unit; SG = No. 123
1.0
5.725 0.000 0.000
0.000 5.725 0.000
0.000 0.000 4.794
K Rh Se N
1 1 2 1
Direct
0.000 0.000 0.000
0.500 0.500 0.500
0.000 0.500 0.000
0.500 0.000 0.000
0.000 0.000 0.500

<Q>
GGA-PBE KRhSe2N, relaxed; size of the total moment = 0.00 μB per formula unit; SG = No. 123
1.0
5.453 0.000 0.000
0.000 5.453 0.000
0.000 0.000 3.648
K Rh Se N
1 1 2 1
Direct
0.000 0.000 0.000
0.500 0.500 0.500
0.000 0.500 0.500
0.500 0.000 0.500
0.500 0.500 0.000

Result of the stability comparison: <P> is the least stable of them.